Below is SrTbSb2O8 after structural relaxation, with properties calculated at the PBE-GGA level.

Cell lengths 6.8879, 6.8879, 6.8879 Å; angles 133.72, 133.72, 67.53 degrees
Closest atoms and distances in Å follow each position.
Element x y z (fractional)
Sr1 0.0000 0.0000 0.0000  8 O 2.51-2.57
Tb1 0.2500 0.7500 0.5000  8 O 2.39-2.43
Sb1 0.5000 0.5000 0.0000  4 O 1.93
Sb2 0.7500 0.2500 0.5000  4 O 1.92
O1 0.0243 0.0932 0.4488  1 Sb 1.92
O2 0.2421 0.6533 0.0815  1 Sb 1.93
O3 0.3467 0.4282 0.5888  1 Sb 1.93
O4 0.4245 0.9757 0.0689  1 Sb 1.92
O5 0.5718 0.1606 0.9185  1 Sb 1.93
O6 0.6444 0.5755 0.5512  1 Sb 1.92
O7 0.8394 0.7579 0.4112  1 Sb 1.93
O8 0.9068 0.3556 0.9311  1 Sb 1.92

Calculated values
- formation energy without anion corrections (meV per atom) = -1987
- D(E_F) (states/eV per atom) = 0.639
- M_tot (μB/f.u.) = 1.10